# LaTbBr6

Crystalline LaTbBr6 at its relaxed geometry (GGA-PBE, Alexandria via LeMat-Bulk).

The structure in CIF format:
```
data_LaTbBr6
_space_group_name_H-M_alt 'R -3'
_space_group_IT_number 148
_space_group_name_Hall '-R 3'
_cell_length_a 7.2093
_cell_length_b 7.2093
_cell_length_c 19.8464
_cell_angle_alpha 90.00
_cell_angle_beta 90.00
_cell_angle_gamma 120.00
loop_
_atom_site_label
_atom_site_fract_x
_atom_site_fract_y
_atom_site_fract_z
La1 0.0000 0.0000 0.0000
Tb1 0.0000 0.0000 0.5000
Br1 0.0025 0.3232 0.5814
```

***

# La2TbBr

Crystalline La2TbBr at its relaxed geometry (GGA-PBE, Alexandria via LeMat-Bulk).

The structure in CIF format:
```
data_La2TbBr
_space_group_name_H-M_alt 'R -3 m'
_space_group_IT_number 166
_space_group_name_Hall '-R 3 2"'
_cell_length_a 3.5895
_cell_length_b 3.5895
_cell_length_c 34.7465
_cell_angle_alpha 90.00
_cell_angle_beta 90.00
_cell_angle_gamma 120.00
loop_
_atom_site_label
_atom_site_fract_x
_atom_site_fract_y
_atom_site_fract_z
La1 0.0000 0.0000 0.0958
Tb1 0.0000 0.0000 0.0000
Br1 0.0000 0.0000 0.5000
```

***

# LaTbBr3

Crystalline LaTbBr3 at its relaxed geometry (GGA-PBE, Alexandria via LeMat-Bulk).

The structure in CIF format:
```
data_LaTbBr3
_space_group_name_H-M_alt 'C 1 2/m 1'
_space_group_IT_number 12
_space_group_name_Hall '-C 2y'
_cell_length_a 18.0685
_cell_length_b 4.0376
_cell_length_c 11.6533
_cell_angle_alpha 90.00
_cell_angle_beta 122.28
_cell_angle_gamma 90.00
loop_
_atom_site_label
_atom_site_fract_x
_atom_site_fract_y
_atom_site_fract_z
La1 0.1386 0.0000 0.2877
Tb1 0.0752 0.5000 0.9575
Br1 0.0416 0.0000 0.7530
Br2 0.1604 0.5000 0.5078
Br3 0.2141 0.0000 0.1132
```

***

# La2TbBr

Crystalline La2TbBr at its relaxed geometry (GGA-PBE, Alexandria via LeMat-Bulk).

The structure in CIF format:
```
data_La2TbBr
_space_group_name_H-M_alt 'P 4/m m m'
_space_group_IT_number 123
_space_group_name_Hall '-P 4 2'
_cell_length_a 3.6523
_cell_length_b 3.6523
_cell_length_c 9.7750
_cell_angle_alpha 90.00
_cell_angle_beta 90.00
_cell_angle_gamma 90.00
loop_
_atom_site_label
_atom_site_fract_x
_atom_site_fract_y
_atom_site_fract_z
La1 0.0000 0.0000 0.2342
Tb1 0.5000 0.5000 0.5000
Br1 0.5000 0.5000 0.0000
```

***

# LaTbBr2

Crystalline LaTbBr2 at its relaxed geometry (GGA-PBE, Alexandria via LeMat-Bulk).

The structure in CIF format:
```
data_LaTbBr2
_space_group_name_H-M_alt 'R -3 m'
_space_group_IT_number 166
_space_group_name_Hall '-R 3 2"'
_cell_length_a 3.6808
_cell_length_b 3.6808
_cell_length_c 31.1026
_cell_angle_alpha 90.00
_cell_angle_beta 90.00
_cell_angle_gamma 120.00
loop_
_atom_site_label
_atom_site_fract_x
_atom_site_fract_y
_atom_site_fract_z
La1 0.0000 0.0000 0.0000
Tb1 0.0000 0.0000 0.5000
Br1 0.0000 0.0000 0.0998
```

***

# LaTc2Br

Crystalline LaTc2Br at its relaxed geometry (GGA-PBE, Alexandria via LeMat-Bulk).

The structure in CIF format:
```
data_LaTc2Br
_space_group_name_H-M_alt 'C m m m'
_space_group_IT_number 65
_space_group_name_Hall '-C 2 2'
_cell_length_a 5.4494
_cell_length_b 9.1471
_cell_length_c 3.2745
_cell_angle_alpha 90.00
_cell_angle_beta 90.00
_cell_angle_gamma 90.00
loop_
_atom_site_label
_atom_site_fract_x
_atom_site_fract_y
_atom_site_fract_z
La1 0.0000 0.0000 0.0000
Tc1 0.2500 0.2500 0.5000
Br1 0.0000 0.5000 0.0000
```

***

# LaTcBr3

Crystalline LaTcBr3 at its relaxed geometry (GGA-PBE, Alexandria via LeMat-Bulk).

The structure in CIF format:
```
data_LaTcBr3
_space_group_name_H-M_alt 'P m -3 m'
_space_group_IT_number 221
_space_group_name_Hall '-P 4 2 3'
_cell_length_a 5.8708
_cell_length_b 5.8708
_cell_length_c 5.8708
_cell_angle_alpha 90.00
_cell_angle_beta 90.00
_cell_angle_gamma 90.00
loop_
_atom_site_label
_atom_site_fract_x
_atom_site_fract_y
_atom_site_fract_z
La1 0.0000 0.0000 0.0000
Tc1 0.5000 0.5000 0.5000
Br1 0.0000 0.0000 0.5000
```

***

# LaTcBr

Crystalline LaTcBr at its relaxed geometry (GGA-PBE, Alexandria via LeMat-Bulk).

The structure in CIF format:
```
data_LaTcBr
_space_group_name_H-M_alt 'F -4 3 m'
_space_group_IT_number 216
_space_group_name_Hall 'F -4 2 3'
_cell_length_a 7.1987
_cell_length_b 7.1987
_cell_length_c 7.1987
_cell_angle_alpha 90.00
_cell_angle_beta 90.00
_cell_angle_gamma 90.00
loop_
_atom_site_label
_atom_site_fract_x
_atom_site_fract_y
_atom_site_fract_z
La1 0.0000 0.0000 0.0000
Tc1 0.2500 0.2500 0.2500
Br1 0.2500 0.2500 0.7500
```

***

# LaTcBr

Crystalline LaTcBr at its relaxed geometry (GGA-PBE, Alexandria via LeMat-Bulk).

The structure in CIF format:
```
data_LaTcBr
_space_group_name_H-M_alt 'I 4 m m'
_space_group_IT_number 107
_space_group_name_Hall 'I 4 -2'
_cell_length_a 3.4127
_cell_length_b 3.4127
_cell_length_c 12.9174
_cell_angle_alpha 90.00
_cell_angle_beta 90.00
_cell_angle_gamma 90.00
loop_
_atom_site_label
_atom_site_fract_x
_atom_site_fract_y
_atom_site_fract_z
La1 0.0000 0.0000 0.0000
Tc1 0.0000 0.0000 0.3453
Br1 0.0000 0.0000 0.6734
```

***

# LaTc4Br

Crystalline LaTc4Br at its relaxed geometry (GGA-PBE, Alexandria via LeMat-Bulk).

The structure in CIF format:
```
data_LaTc4Br
_space_group_name_H-M_alt 'F -4 3 m'
_space_group_IT_number 216
_space_group_name_Hall 'F -4 2 3'
_cell_length_a 7.6688
_cell_length_b 7.6688
_cell_length_c 7.6688
_cell_angle_alpha 90.00
_cell_angle_beta 90.00
_cell_angle_gamma 90.00
loop_
_atom_site_label
_atom_site_fract_x
_atom_site_fract_y
_atom_site_fract_z
La1 0.0000 0.0000 0.0000
Tc1 0.1242 0.1242 0.6242
Br1 0.2500 0.2500 0.2500
```

***

# La4TcBr5

Crystalline La4TcBr5 at its relaxed geometry (GGA-PBE, Alexandria via LeMat-Bulk).

The structure in CIF format:
```
data_La4TcBr5
_space_group_name_H-M_alt 'C 1 2/m 1'
_space_group_IT_number 12
_space_group_name_Hall '-C 2y'
_cell_length_a 19.0251
_cell_length_b 4.3020
_cell_length_c 9.1703
_cell_angle_alpha 90.00
_cell_angle_beta 106.17
_cell_angle_gamma 90.00
loop_
_atom_site_label
_atom_site_fract_x
_atom_site_fract_y
_atom_site_fract_z
La1 0.0027 0.0000 0.2282
La2 0.1443 0.5000 0.0816
Tc1 0.0000 0.5000 0.0000
Br1 0.0000 0.5000 0.5000
Br2 0.1690 0.0000 0.8511
Br3 0.1703 0.0000 0.3321
```

***

# La3TcBr

Crystalline La3TcBr at its relaxed geometry (GGA-PBE, Alexandria via LeMat-Bulk).

The structure in CIF format:
```
data_La3TcBr
_space_group_name_H-M_alt 'P m m n'
_space_group_IT_number 59
_cell_length_a 4.2542
_cell_length_b 7.2318
_cell_length_c 9.9363
_cell_angle_alpha 90.00
_cell_angle_beta 90.00
_cell_angle_gamma 90.00
loop_
_space_group_symop_operation_xyz
'x,y,z'
'-x,-y,-z'
'-x+1/2,-y+1/2,z'
'x+1/2,y+1/2,-z'
'x+1/2,-y,-z'
'-x+1/2,y,z'
'-x,y+1/2,-z'
'x,-y+1/2,z'
loop_
_atom_site_label
_atom_site_fract_x
_atom_site_fract_y
_atom_site_fract_z
La1 0.2500 0.0015 0.1504
La2 0.2500 0.2500 0.5971
Tc1 0.2500 0.2500 0.8994
Br1 0.2500 0.7500 0.6445
```

***

# LaTc2Br

Crystalline LaTc2Br at its relaxed geometry (GGA-PBE, Alexandria via LeMat-Bulk).

The structure in CIF format:
```
data_LaTc2Br
_space_group_name_H-M_alt 'C 1 m 1'
_space_group_IT_number 8
_space_group_name_Hall 'C -2y'
_cell_length_a 9.1299
_cell_length_b 3.7138
_cell_length_c 5.8029
_cell_angle_alpha 90.00
_cell_angle_beta 114.18
_cell_angle_gamma 90.00
loop_
_atom_site_label
_atom_site_fract_x
_atom_site_fract_y
_atom_site_fract_z
La1 0.0000 0.0000 0.0000
Tc1 0.0495 0.5000 0.5575
Tc2 0.2174 0.0000 0.5837
Br1 0.2966 0.5000 0.2947
```

***

# LaTc2Br

Crystalline LaTc2Br at its relaxed geometry (GGA-PBE, Alexandria via LeMat-Bulk).

The structure in CIF format:
```
data_LaTc2Br
_space_group_name_H-M_alt 'I -4 2 d'
_space_group_IT_number 122
_space_group_name_Hall 'I -4 2bw'
_cell_length_a 4.7982
_cell_length_b 4.7982
_cell_length_c 17.0395
_cell_angle_alpha 90.00
_cell_angle_beta 90.00
_cell_angle_gamma 90.00
loop_
_atom_site_label
_atom_site_fract_x
_atom_site_fract_y
_atom_site_fract_z
La1 0.0000 0.0000 0.0000
Tc1 0.0422 0.2500 0.6250
Br1 0.0000 0.0000 0.5000
```

***

no.,E_form (uncorrected) (kJ/mol of formula units)
1,-1456
2,-152
3,-748
4,-193
5,-405
6,282
7,-110
8,180
9,51
10,355
11,-1362
12,-203
13,52
14,209